BaLiMnCl6 | Alexandria via LeMat-Bulk | PBE | optimized geometry; space group = No. 149; calculated volume = 245.10 Å³/cell; M_tot = 4.0 μB/f.u.; formation energy from raw total energies = -1.631 eV/atom
1.0
6.540 0.000 0.000
-3.270 5.663 0.000
0.000 0.000 6.617
Ba Li Mn Cl
1 1 1 6
Direct
0.000 0.000 0.000
0.333 0.667 0.500
0.667 0.333 0.500
0.384 0.019 0.711
0.384 0.365 0.289
0.635 0.019 0.289
0.635 0.616 0.711
0.981 0.365 0.711
0.981 0.616 0.289